[1]
K2CePuTe4: relaxed, PBE-GGA.

Output
- Symmetry: P2/m
- Formation energy without anion corrections: -1.2364 eV per atom

abc: 4.617 7.998 8.623
angles: 108.04 90.00 90.00
Last column: magnetic moment on the atom in μB.
Element x y z (fractional)
Ce (0.500, 0.500, 0.000)  0.84
K (0.000, 0.500, 0.500)  0.00
Te (0.500, 0.764, 0.790)  -0.07
Te (0.500, 0.236, 0.210)  -0.07
Te (0.000, 0.737, 0.212)  -0.04
K (0.500, 0.000, 0.500)  0.00
Pu (0.000, 0.000, 0.000)  5.29
Te (0.000, 0.263, 0.788)  -0.04

[2]
KCaZr2Hg: relaxed, PBE-GGA.

Output
- Symmetry: P4/mmm
- Energy of formation: 0.7456 eV per atom

abc: 5.510 5.943 5.510
angles: 90.00 90.00 90.00
Last column: magnetic moment on the atom in μB.
Element x y z (fractional)
Zr (0.000, 0.000, 0.500)  0.65
Ca (0.000, 0.500, 0.000)  0.03
K (0.500, 0.500, 0.500)  0.03
Zr (0.500, 0.000, 0.000)  0.79
Hg (0.000, 0.000, 0.000)  0.03

[3]
MgMnMo2: relaxed, PBE-GGA.

Output
- Symmetry: P4/mmm
- Energy of formation: 0.3265 eV per atom

abc: 2.671 2.671 8.762
angles: 90.00 90.00 90.00
Last column: magnetic moment on the atom in μB.
Element x y z (fractional)
Mg (0.500, 0.500, 0.250)  0.01
Mo (0.000, 0.000, 0.981)  -0.08
Mn (0.500, 0.500, 0.750)  2.36
Mo (0.000, 0.000, 0.519)  -0.08

[4]
CeDy12Ho2: relaxed, PBE-GGA.

Output
- Symmetry: P2/m
- Energy of formation: 0.1213 eV per atom

abc: 6.628 6.628 24.635
angles: 96.77 96.77 115.31
Last column: magnetic moment on the atom in μB.
Element x y z (fractional)
Dy (0.950, 0.950, 0.933)  -0.01
Dy (0.994, 0.994, 0.329)  0.01
Dy (0.603, 0.603, 0.807)  0.04
Dy (0.006, 0.006, 0.671)  0.01
Dy (0.354, 0.854, 0.136)  0.01
Dy (0.397, 0.397, 0.193)  0.04
Ho (0.958, 0.458, 0.280)  0.01
Dy (0.646, 0.146, 0.864)  0.01
Dy (0.494, 0.494, 0.329)  0.01
Dy (0.506, 0.506, 0.671)  0.01
Dy (0.316, 0.816, 0.423)  0.00
Dy (0.050, 0.050, 0.067)  -0.01
Dy (0.854, 0.354, 0.136)  0.01
Ho (0.542, 0.042, 0.720)  0.01
Dy (0.816, 0.316, 0.423)  0.00
Ce (0.000, 0.500, 0.000)  -0.54
Ce (0.500, 0.000, 0.000)  -0.54
Ho (0.042, 0.542, 0.720)  0.01
Dy (0.550, 0.550, 0.067)  -0.01
Ho (0.458, 0.958, 0.280)  0.01
Dy (0.146, 0.646, 0.864)  0.01
Dy (0.103, 0.103, 0.807)  0.04
Dy (0.668, 0.668, 0.556)  0.00
Dy (0.684, 0.184, 0.577)  0.00
Dy (0.332, 0.332, 0.444)  0.00
Dy (0.168, 0.168, 0.556)  0.00
Dy (0.832, 0.832, 0.444)  0.00
Dy (0.897, 0.897, 0.193)  0.04
Dy (0.450, 0.450, 0.933)  -0.01
Dy (0.184, 0.684, 0.577)  0.00

Repeat the third record exactly.
MgMnMo2: relaxed, PBE-GGA.

Output
- Symmetry: P4/mmm
- Energy of formation: 0.3265 eV per atom

abc: 2.671 2.671 8.762
angles: 90.00 90.00 90.00
Last column: magnetic moment on the atom in μB.
Element x y z (fractional)
Mg (0.500, 0.500, 0.250)  0.01
Mo (0.000, 0.000, 0.981)  -0.08
Mn (0.500, 0.500, 0.750)  2.36
Mo (0.000, 0.000, 0.519)  -0.08